A plane-wave DFT calculation with GGA-PBE was carried out for a geometry-optimized HoPaN2 structure.

Calculated values
Formation energy (no corrections) in eV/atom: -1.438
Theoretical density in g/cm3: 11.780
Total magnetic moment in μB/cell: 0.00

a b c (Å): 3.3926 3.3926 17.9883
angles (deg): 90.00 90.00 120.00
Space group R3m (No. 160, hexagonal axes)
One atom of each set of equivalent atoms:
Ho: 0.0000 0.0000 0.0000
Pa: 0.0000 0.0000 0.8249
N: 0.0000 0.0000 0.4083
N: 0.0000 0.0000 0.5746

A plane-wave DFT calculation with GGA-PBE was carried out for a geometry-optimized SrCa4Au2 structure.

Calculated values
DFT formation energy in eV per atom: -0.5002
Theoretical density in g/cm3: 4.635
Total magnetic moment in μB/cell: 0.00

a b c (Å): 8.290 6.763 8.862
angles (deg): 90.00 112.21 90.00
Space group P2_1/m (No. 11)
One atom of each set of equivalent atoms:
Sr: 0.002 0.250 0.346
Ca: 0.241 0.001 0.079
Ca: 0.343 0.250 0.767
Ca: 0.386 0.750 0.516
Au: 0.019 0.750 0.224
Au: 0.413 0.750 0.872

A plane-wave DFT calculation with GGA-PBE was carried out for a geometry-optimized CdAg5Hg structure.

Calculated values
DFT formation energy in eV per atom: 0.0999
Theoretical density in g/cm3: 10.036
Total magnetic moment in μB/cell: 0.00

a b c (Å): 9.943 5.591 10.259
angles (deg): 90.00 98.46 90.00
Space group C2/c (No. 15)
One atom of each set of equivalent atoms:
Cd: 0.000 0.212 0.250
Ag: 0.000 0.275 0.750
Ag: 0.149 0.033 0.543
Ag: 0.238 0.458 0.189
Hg: 0.000 0.500 0.000

A plane-wave DFT calculation with GGA-PBE was carried out for a geometry-optimized MgTlPtO4 structure.

Calculated values
Formation energy (no corrections) in eV/atom: -0.993
Theoretical density in g/cm3: 8.454
Total magnetic moment in μB/cell: 2.33

a b c (Å): 6.401 6.649 9.004
angles (deg): 90.00 90.00 90.00
Space group Imma (No. 74)
One atom of each set of equivalent atoms:
Mg: 0.000 0.250 0.140
Tl: 0.250 0.250 0.750
Pt: 0.000 0.000 0.500
O: 0.000 0.002 0.271
O: 0.222 0.250 0.492